! Tb4Te2Pd (GGA-PBE, optimized geometry); values from VASP
! E_tot (eV/f.u.): -36.3
! Energy relative to the elements, uncorrected (eV/atom): -0.906
&SYSTEM
  ibrav = 0, nat = 7, ntyp = 3
/
ATOMIC_SPECIES
Tb 158.93 Tb.upf
Te 127.60 Te.upf
Pd 106.42 Pd.upf
CELL_PARAMETERS angstrom
7.9678 -2.0745 0.0000
7.9678 2.0745 0.0000
-3.1331 0.0000 6.3660
ATOMIC_POSITIONS angstrom
Tb 0.2661 0.0000 2.8349
Tb 6.0674 0.0000 0.3949
Tb 6.7350 0.0000 5.9711
Tb 12.5363 0.0000 3.5311
Te 3.2191 0.0000 1.6473
Te 9.5834 0.0000 4.7187
Pd 0.0000 0.0000 0.0000